P.
The following is a PBE calculation of crystalline Fe2AsCl at its relaxed geometry, from Alexandria.

Cell: 4.468 4.468 4.468 Å, 60.00 60.00 60.00°
Fractional coordinates of all 4 atoms:
1 Fe 0.000 0.000 0.000
2 Fe 0.250 0.250 0.250
3 As 0.500 0.500 0.500
4 Cl 0.750 0.750 0.750

Computed properties:
- crystal system = cubic
- space group = F-43m (216)
- N(E_F) (states/eV per cell) = 3.108

=====

Q.
The following is a PBE calculation of crystalline Fe2AsCl at its relaxed geometry, from Alexandria.

Cell: 7.455 7.455 7.455 Å, 24.19 24.19 24.19°
Fractional coordinates of all 4 atoms:
1 Fe 0.247 0.247 0.247
2 Fe 0.753 0.753 0.753
3 As 0.500 0.500 0.500
4 Cl 0.000 0.000 0.000

Computed properties:
- crystal system = trigonal
- space group = R-3m (166)
- N(E_F) (states/eV per cell) = 5.850

=====

Winner for stability: Q

=====

P.
The following is a PBE calculation of crystalline Fe2AsCl at its relaxed geometry, from Alexandria.

Cell: 3.102 3.298 6.397 Å, 90.00 90.00 90.00°
Fractional coordinates of all 4 atoms:
1 Fe 0.000 0.000 0.188
2 Fe 0.000 0.000 0.812
3 As 0.500 0.500 0.000
4 Cl 0.500 0.000 0.500

Computed properties:
- crystal system = orthorhombic
- space group = Pmmm (47)
- N(E_F) (states/eV per cell) = 4.022

=====

Q.
The following is a PBE calculation of crystalline Fe2AsCl at its relaxed geometry, from Alexandria.

Cell: 3.080 3.080 7.668 Å, 90.00 90.00 119.89°
Fractional coordinates of all 4 atoms:
1 Fe 0.000 0.000 0.246
2 Fe 0.000 0.000 0.754
3 As 0.500 0.500 0.000
4 Cl 0.500 0.500 0.500

Computed properties:
- crystal system = orthorhombic
- space group = Cmmm (65)
- N(E_F) (states/eV per cell) = 4.142

=====

R.
The following is a PBE calculation of crystalline Fe2AsCl at its relaxed geometry, from Alexandria.

Cell: 5.154 5.154 5.154 Å, 147.56 105.99 83.14°
Fractional coordinates of all 4 atoms:
1 Fe 0.250 0.250 0.000
2 Fe 0.750 0.750 0.000
3 As 0.500 0.000 0.500
4 Cl 0.000 0.500 0.500

Computed properties:
- crystal system = orthorhombic
- space group = Immm (71)
- N(E_F) (states/eV per cell) = 4.913

=====

Winner for stability: P

=====

P.
The following is a PBE calculation of crystalline FeAsCl at its relaxed geometry, from Alexandria.

Cell: 7.152 7.015 3.006 Å, 80.30 75.22 24.48°
Fractional coordinates of all 3 atoms:
1 Fe 0.000 0.000 0.000
2 As 0.619 0.619 0.381
3 Cl 0.387 0.387 0.613

Computed properties:
- crystal system = orthorhombic
- space group = Fmm2 (42)
- N(E_F) (states/eV per cell) = 2.802

=====

Q.
The following is a PBE calculation of crystalline FeAsCl at its relaxed geometry, from Alexandria.

Cell: 3.544 3.544 5.601 Å, 90.00 90.00 120.00°
Fractional coordinates of all 3 atoms:
1 Fe 0.000 0.000 0.000
2 As 0.333 0.667 0.163
3 Cl 0.667 0.333 0.734

Computed properties:
- crystal system = trigonal
- space group = P3m1 (156)
- N(E_F) (states/eV per cell) = 0.437

=====

R.
The following is a PBE calculation of crystalline FeAsCl at its relaxed geometry, from Alexandria.

Cell: 3.219 3.219 6.981 Å, 90.00 90.00 120.00°
Fractional coordinates of all 3 atoms:
1 Fe 0.000 0.000 0.000
2 As 0.333 0.667 0.230
3 Cl 0.667 0.333 0.789

Computed properties:
- crystal system = trigonal
- space group = P3m1 (156)
- N(E_F) (states/eV per cell) = 1.390

=====

Winner for stability: R

=====

P.
The following is a PBE calculation of crystalline FeAsCl at its relaxed geometry, from Alexandria.

Cell: 4.113 4.113 4.113 Å, 60.00 60.00 60.00°
Fractional coordinates of all 3 atoms:
1 Fe 0.000 0.000 0.000
2 As 0.750 0.750 0.750
3 Cl 0.250 0.250 0.250

Computed properties:
- crystal system = cubic
- space group = F-43m (216)
- N(E_F) (states/eV per cell) = 1.193

=====

Q.
The following is a PBE calculation of crystalline FeAsCl at its relaxed geometry, from Alexandria.

Cell: 4.497 4.497 4.497 Å, 60.00 60.00 60.00°
Fractional coordinates of all 3 atoms:
1 Fe 0.000 0.000 0.000
2 As 0.750 0.750 0.750
3 Cl 0.500 0.500 0.500

Computed properties:
- crystal system = cubic
- space group = F-43m (216)
- N(E_F) (states/eV per cell) = 4.064

=====

Winner for stability: P

=====

P.
The following is a PBE calculation of crystalline FeAsCl2 at its relaxed geometry, from Alexandria.

Cell: 3.098 3.098 8.312 Å, 90.00 90.00 90.00°
Fractional coordinates of all 4 atoms:
1 Fe 0.000 0.000 0.000
2 As 0.500 0.500 0.203
3 Cl 0.000 0.000 0.424
4 Cl 0.500 0.500 0.834

Computed properties:
- crystal system = tetragonal
- space group = P4mm (99)
- N(E_F) (states/eV per cell) = 4.154

=====

Q.
The following is a PBE calculation of crystalline FeAsCl2 at its relaxed geometry, from Alexandria.

Cell: 3.415 3.415 8.973 Å, 90.00 90.00 122.48°
Fractional coordinates of all 4 atoms:
1 Fe 0.000 0.000 0.000
2 As 0.500 0.500 0.201
3 Cl 0.000 0.000 0.428
4 Cl 0.500 0.500 0.822

Computed properties:
- crystal system = orthorhombic
- space group = Cmm2 (35)
- N(E_F) (states/eV per cell) = 2.804

=====

R.
The following is a PBE calculation of crystalline FeAsCl2 at its relaxed geometry, from Alexandria.

Cell: 4.422 4.422 4.010 Å, 90.00 90.00 95.81°
Fractional coordinates of all 4 atoms:
1 Fe 0.000 0.000 0.000
2 As 0.500 0.500 0.000
3 Cl 0.224 0.776 0.500
4 Cl 0.776 0.224 0.500

Computed properties:
- crystal system = orthorhombic
- space group = Cmmm (65)
- N(E_F) (states/eV per cell) = 3.535

=====

Winner for stability: Q

=====

P.
The following is a PBE calculation of crystalline FeAsCl3 at its relaxed geometry, from Alexandria.

Cell: 4.566 4.566 4.566 Å, 90.00 90.00 90.00°
Fractional coordinates of all 5 atoms:
1 Fe 0.000 0.000 0.000
2 As 0.500 0.500 0.500
3 Cl 0.000 0.000 0.500
4 Cl 0.000 0.500 0.000
5 Cl 0.500 0.000 0.000

Computed properties:
- crystal system = cubic
- space group = Pm-3m (221)
- N(E_F) (states/eV per cell) = 5.420

=====

Q.
The following is a PBE calculation of crystalline FeAsCl3 at its relaxed geometry, from Alexandria.

Cell: 5.098 5.098 5.098 Å, 90.00 90.00 90.00°
Fractional coordinates of all 5 atoms:
1 Fe 0.000 0.000 0.000
2 As 0.500 0.500 0.500
3 Cl 0.000 0.500 0.500
4 Cl 0.500 0.000 0.500
5 Cl 0.500 0.500 0.000

Computed properties:
- crystal system = cubic
- space group = Pm-3m (221)
- N(E_F) (states/eV per cell) = 14.914

=====

Winner for stability: P

=====

P.
The following is a PBE calculation of crystalline Fe3AsCl at its relaxed geometry, from Alexandria.

Cell: 4.652 4.652 4.652 Å, 90.00 90.00 90.00°
Fractional coordinates of all 5 atoms:
1 Fe 0.000 0.000 0.500
2 Fe 0.000 0.500 0.000
3 Fe 0.500 0.000 0.000
4 As 0.000 0.000 0.000
5 Cl 0.500 0.500 0.500

Computed properties:
- crystal system = cubic
- space group = Pm-3m (221)
- N(E_F) (states/eV per cell) = 6.336

=====

Q.
The following is a PBE calculation of crystalline Fe3AsCl at its relaxed geometry, from Alexandria.

Cell: 4.237 4.237 4.237 Å, 90.00 90.00 90.00°
Fractional coordinates of all 5 atoms:
1 Fe 0.000 0.000 0.500
2 Fe 0.000 0.500 0.000
3 Fe 0.500 0.000 0.000
4 As 0.500 0.500 0.500
5 Cl 0.000 0.000 0.000

Computed properties:
- crystal system = cubic
- space group = Pm-3m (221)
- N(E_F) (states/eV per cell) = 6.288

=====

Winner for stability: P

=====

P.
The following is a PBE calculation of crystalline FeAsPCl2 at its relaxed geometry, from Alexandria.

Cell: 4.419 4.419 4.686 Å, 90.00 90.00 90.00°
Fractional coordinates of all 5 atoms:
1 Fe 0.000 0.000 0.000
2 As 0.500 0.500 0.500
3 P 0.000 0.000 0.500
4 Cl 0.000 0.500 0.000
5 Cl 0.500 0.000 0.000

Computed properties:
- crystal system = tetragonal
- space group = P4/mmm (123)
- N(E_F) (states/eV per cell) = 7.888

=====

Q.
The following is a PBE calculation of crystalline FeAsPCl2 at its relaxed geometry, from Alexandria.

Cell: 4.843 4.843 5.034 Å, 90.00 90.00 90.00°
Fractional coordinates of all 5 atoms:
1 Fe 0.000 0.000 0.000
2 As 0.500 0.500 0.500
3 P 0.500 0.500 0.000
4 Cl 0.000 0.500 0.500
5 Cl 0.500 0.000 0.500

Computed properties:
- crystal system = tetragonal
- space group = P4/mmm (123)
- N(E_F) (states/eV per cell) = 8.323

=====

Winner for stability: P

=====

P.
The following is a PBE calculation of crystalline FeAsSCl2 at its relaxed geometry, from Alexandria.

Cell: 4.929 4.929 4.941 Å, 90.00 90.00 90.00°
Fractional coordinates of all 5 atoms:
1 Fe 0.000 0.000 0.000
2 As 0.500 0.500 0.500
3 S 0.500 0.500 0.000
4 Cl 0.000 0.500 0.500
5 Cl 0.500 0.000 0.500

Computed properties:
- crystal system = tetragonal
- space group = P4/mmm (123)
- N(E_F) (states/eV per cell) = 8.594

=====

Q.
The following is a PBE calculation of crystalline FeAsSCl2 at its relaxed geometry, from Alexandria.

Cell: 4.519 4.519 4.479 Å, 90.00 90.00 90.00°
Fractional coordinates of all 5 atoms:
1 Fe 0.000 0.000 0.000
2 As 0.500 0.500 0.500
3 S 0.000 0.000 0.500
4 Cl 0.000 0.500 0.000
5 Cl 0.500 0.000 0.000

Computed properties:
- crystal system = tetragonal
- space group = P4/mmm (123)
- N(E_F) (states/eV per cell) = 4.806

=====

Winner for stability: Q

=====

P.
The following is a PBE calculation of crystalline GaAs3Cl at its relaxed geometry, from Alexandria.

Cell: 4.956 4.956 4.956 Å, 90.00 90.00 90.00°
Fractional coordinates of all 5 atoms:
1 Ga 0.000 0.000 0.000
2 As 0.000 0.500 0.500
3 As 0.500 0.000 0.500
4 As 0.500 0.500 0.000
5 Cl 0.500 0.500 0.500

Computed properties:
- crystal system = cubic
- space group = Pm-3m (221)
- N(E_F) (states/eV per cell) = 6.691

=====

Q.
The following is a PBE calculation of crystalline GaAs3Cl at its relaxed geometry, from Alexandria.

Cell: 4.970 4.970 4.970 Å, 90.00 90.00 90.00°
Fractional coordinates of all 5 atoms:
1 Ga 0.000 0.000 0.000
2 As 0.000 0.000 0.500
3 As 0.000 0.500 0.000
4 As 0.500 0.000 0.000
5 Cl 0.500 0.500 0.500

Computed properties:
- crystal system = cubic
- space group = Pm-3m (221)
- N(E_F) (states/eV per cell) = 6.546

=====

Winner for stability: Q

=====

P.
The following is a PBE calculation of crystalline Ga2AsCl at its relaxed geometry, from Alexandria.

Cell: 4.845 4.845 4.845 Å, 60.00 60.00 60.00°
Fractional coordinates of all 4 atoms:
1 Ga 0.250 0.250 0.250
2 Ga 0.750 0.750 0.750
3 As 0.000 0.000 0.000
4 Cl 0.500 0.500 0.500

Computed properties:
- crystal system = cubic
- space group = Fm-3m (225)
- N(E_F) (states/eV per cell) = 0.775

=====

Q.
The following is a PBE calculation of crystalline Ga2AsCl at its relaxed geometry, from Alexandria.

Cell: 6.581 6.581 6.581 Å, 116.65 116.65 95.90°
Fractional coordinates of all 8 atoms:
1 Ga 0.096 0.625 0.971
2 Ga 0.375 0.346 0.471
3 Ga 0.654 0.125 0.029
4 Ga 0.875 0.904 0.529
5 As 0.000 0.000 0.000
6 As 0.750 0.250 0.500
7 Cl 0.250 0.750 0.500
8 Cl 0.500 0.500 0.000

Computed properties:
- crystal system = tetragonal
- space group = I-42d (122)
- N(E_F) (states/eV per cell) = 0.603

=====

Winner for stability: Q

=====

P.
The following is a PBE calculation of crystalline GaAsSCl2 at its relaxed geometry, from Alexandria.

Cell: 4.822 4.822 5.627 Å, 90.00 90.00 90.00°
Fractional coordinates of all 5 atoms:
1 Ga 0.000 0.000 0.000
2 As 0.000 0.000 0.500
3 S 0.500 0.500 0.000
4 Cl 0.000 0.500 0.500
5 Cl 0.500 0.000 0.500

Computed properties:
- crystal system = tetragonal
- space group = P4/mmm (123)
- N(E_F) (states/eV per cell) = 1.900

=====

Q.
The following is a PBE calculation of crystalline GaAsSCl2 at its relaxed geometry, from Alexandria.

Cell: 5.141 5.141 4.782 Å, 90.00 90.00 90.00°
Fractional coordinates of all 5 atoms:
1 Ga 0.000 0.000 0.000
2 As 0.500 0.500 0.500
3 S 0.500 0.500 0.000
4 Cl 0.000 0.500 0.500
5 Cl 0.500 0.000 0.500

Computed properties:
- crystal system = tetragonal
- space group = P4/mmm (123)
- N(E_F) (states/eV per cell) = 0.305

=====

Winner for stability: Q

=====

P.
The following is a PBE calculation of crystalline Ge2AsCl at its relaxed geometry, from Alexandria.

Cell: 6.444 6.444 6.444 Å, 112.13 112.13 104.27°
Fractional coordinates of all 8 atoms:
1 Ge 0.095 0.125 0.470
2 Ge 0.375 0.905 0.030
3 Ge 0.655 0.625 0.530
4 Ge 0.875 0.345 0.970
5 As 0.000 0.000 0.000
6 As 0.750 0.250 0.500
7 Cl 0.250 0.750 0.500
8 Cl 0.500 0.500 0.000

Computed properties:
- crystal system = tetragonal
- space group = I-42d (122)
- N(E_F) (states/eV per cell) = 1.542

=====

Q.
The following is a PBE calculation of crystalline Ge2AsCl at its relaxed geometry, from Alexandria.

Cell: 4.843 4.843 4.843 Å, 60.00 60.00 60.00°
Fractional coordinates of all 4 atoms:
1 Ge 0.250 0.250 0.250
2 Ge 0.750 0.750 0.750
3 As 0.000 0.000 0.000
4 Cl 0.500 0.500 0.500

Computed properties:
- crystal system = cubic
- space group = Fm-3m (225)
- N(E_F) (states/eV per cell) = 1.160

=====

Winner for stability: P